A | Below is a relaxed CrAgP2O crystal, with properties calculated at the PBE with a Hubbard U level.

```
data_CrAgP2O
_space_group_name_H-M_alt 'P 4/m m m'
_space_group_IT_number 123
_space_group_name_Hall '-P 4 2'
_cell_length_a 4.9032
_cell_length_b 4.9032
_cell_length_c 3.4853
_cell_angle_alpha 90.00
_cell_angle_beta 90.00
_cell_angle_gamma 90.00
loop_
_atom_site_label
_atom_site_type_symbol
_atom_site_fract_x
_atom_site_fract_y
_atom_site_fract_z
Cr1 Cr 0.0000 0.0000 0.0000
Ag1 Ag 0.5000 0.5000 0.5000
P1 P 0.0000 0.5000 0.0000
O1 O 0.0000 0.0000 0.5000
```

=====

B | Below is a relaxed CrAgP2O crystal, with properties calculated at the PBE with a Hubbard U level.

```
data_CrAgP2O
_space_group_name_H-M_alt 'P 4/m m m'
_space_group_IT_number 123
_space_group_name_Hall '-P 4 2'
_cell_length_a 4.8315
_cell_length_b 4.8315
_cell_length_c 3.9408
_cell_angle_alpha 90.00
_cell_angle_beta 90.00
_cell_angle_gamma 90.00
loop_
_atom_site_label
_atom_site_type_symbol
_atom_site_fract_x
_atom_site_fract_y
_atom_site_fract_z
Cr1 Cr 0.0000 0.0000 0.0000
Ag1 Ag 0.5000 0.5000 0.5000
P1 P 0.0000 0.5000 0.5000
O1 O 0.5000 0.5000 0.0000
```

=====

Computed energies relative to the best structure, in meV per atom: A 0; B 1140